Here is a relaxed KCoPb2 crystal from Alexandria via LeMat-Bulk. Energies are from PBE.

The structure belongs to space group I-42d (No. 122); the cell edges are 6.804, 6.804 and 13.973 Å and the angles 90.00°, 90.00° and 90.00°. The distinct sites, in fractional coordinates, are K at (0.000, 0.000, 0.000), Co at (0.000, 0.000, 0.500) and Pb at (0.002, 0.250, 0.625).

=====

Here is a relaxed KCoPb2 crystal from Alexandria via LeMat-Bulk. Energies are from PBE.

The structure belongs to space group P4mm (No. 99); the cell edges are 3.681, 3.681 and 8.689 Å and the angles 90.00°, 90.00° and 90.00°. The distinct sites, in fractional coordinates, are K at (0.000, 0.000, 0.000), Co at (0.500, 0.500, 0.608), Pb at (0.000, 0.000, 0.604) and Pb at (0.500, 0.500, 0.307).

=====

Here is a relaxed KCoPb2 crystal from Alexandria via LeMat-Bulk. Energies are from PBE.

The structure belongs to space group I-4m2 (No. 119); the cell edges are 5.030, 5.030 and 8.704 Å and the angles 90.00°, 90.00° and 90.00°. The distinct sites, in fractional coordinates, are K at (0.000, 0.000, 0.000), Co at (0.000, 0.500, 0.250), Pb at (0.000, 0.000, 0.500) and Pb at (0.000, 0.500, 0.750).

=====

Here is a relaxed KCoPb2 crystal from Alexandria via LeMat-Bulk. Energies are from PBE.

The structure belongs to space group Amm2 (No. 38); the cell edges are 4.954, 4.138 and 13.565 Å and the angles 90.00°, 90.00° and 90.00°. The distinct sites, in fractional coordinates, are K at (0.000, 0.000, 0.000), Co at (0.500, 0.000, 0.260), Pb at (0.000, 0.000, 0.282) and Pb at (0.500, 0.000, 0.651).

=====

Here is a relaxed KCoPb2 crystal from Alexandria via LeMat-Bulk. Energies are from PBE.

The structure belongs to space group Cmmm (No. 65); the cell edges are 6.634, 9.993 and 3.231 Å and the angles 90.00°, 90.00° and 90.00°. The distinct sites, in fractional coordinates, are K at (0.000, 0.000, 0.000), Co at (0.000, 0.500, 0.000) and Pb at (0.250, 0.250, 0.500).

=====

Here is a relaxed KCoPb crystal from Alexandria via LeMat-Bulk. Energies are from PBE.

The structure belongs to space group I4mm (No. 107); the cell edges are 3.615, 3.615 and 12.572 Å and the angles 90.00°, 90.00° and 90.00°. The distinct sites, in fractional coordinates, are K at (0.000, 0.000, 0.000), Co at (0.000, 0.000, 0.286) and Pb at (0.000, 0.000, 0.721).

=====

Here is a relaxed K2CoPb crystal from Alexandria via LeMat-Bulk. Energies are from PBE.

The structure belongs to space group Immm (No. 71); the cell edges are 3.469, 4.080 and 20.226 Å and the angles 90.00°, 90.00° and 90.00°. The distinct sites, in fractional coordinates, are K at (0.000, 0.000, 0.150), Co at (0.000, 0.500, 0.500) and Pb at (0.000, 0.500, 0.000).

=====

Here is a relaxed K2CoPb crystal from Alexandria via LeMat-Bulk. Energies are from PBE.

The structure belongs to space group Cmmm (No. 65); the cell edges are 4.702, 4.729 and 10.997 Å and the angles 90.00°, 90.00° and 90.00°. The distinct sites, in fractional coordinates, are K at (0.000, 0.000, 0.224), Co at (0.000, 0.500, 0.000) and Pb at (0.000, 0.500, 0.500).

=====

Here is a relaxed KCo3Pb crystal from Alexandria via LeMat-Bulk. Energies are from PBE.

The structure belongs to space group Pm-3m (No. 221); the cell edges are 5.062, 5.062 and 5.062 Å and the angles 90.00°, 90.00° and 90.00°. The distinct sites, in fractional coordinates, are K at (0.000, 0.000, 0.000), Co at (0.000, 0.500, 0.500) and Pb at (0.500, 0.500, 0.500).

=====

Here is a relaxed K2CoPb crystal from Alexandria via LeMat-Bulk. Energies are from PBE.

The structure belongs to space group Cmmm (No. 65); the cell edges are 5.914, 10.959 and 3.890 Å and the angles 90.00°, 90.00° and 90.00°. The distinct sites, in fractional coordinates, are K at (0.250, 0.250, 0.000), Co at (0.000, 0.000, 0.500) and Pb at (0.000, 0.500, 0.500).

=====

Here is a relaxed K2CoPb crystal from Alexandria via LeMat-Bulk. Energies are from PBE.

The structure belongs to space group R-3m (No. 166, hexagonal axes); the cell edges are 3.5007, 3.5007 and 34.9730 Å and the angles 90.00°, 90.00° and 120.00°. The distinct sites, in fractional coordinates, are K at (0.0000, 0.0000, 0.2421), Co at (0.0000, 0.0000, 0.5000) and Pb at (0.0000, 0.0000, 0.0000).

=====

Here is a relaxed K2CoPb crystal from Alexandria via LeMat-Bulk. Energies are from PBE.

The structure belongs to space group P4mm (No. 99); the cell edges are 3.706, 3.706 and 10.181 Å and the angles 90.00°, 90.00° and 90.00°. The distinct sites, in fractional coordinates, are K at (0.000, 0.000, 0.000), K at (0.500, 0.500, 0.407), Co at (0.500, 0.500, 0.742) and Pb at (0.000, 0.000, 0.664).

=====

Here is a relaxed KCoPb crystal from Alexandria via LeMat-Bulk. Energies are from PBE.

The structure belongs to space group P-6m2 (No. 187); the cell edges are 4.3981, 4.3981 and 5.5365 Å and the angles 90.00°, 90.00° and 120.00°. The distinct sites, in fractional coordinates, are K at (0.0000, 0.0000, 0.0000), Co at (0.3333, 0.6667, 0.5000) and Pb at (0.6667, 0.3333, 0.5000).

=====

Here is a relaxed K2CoPb crystal from Alexandria via LeMat-Bulk. Energies are from PBE.

The structure belongs to space group Cm (No. 8); the cell edges are 7.821, 4.504 and 9.444 Å and the angles 90.00°, 105.16° and 90.00°. The distinct sites, in fractional coordinates, are K at (0.000, 0.000, 0.000), K at (0.171, 0.000, 0.542), Co at (0.252, 0.500, 0.272) and Pb at (0.418, 0.000, 0.271).

=====

Here is a relaxed K2CoPb crystal from Alexandria via LeMat-Bulk. Energies are from PBE.

The structure belongs to space group P2/m (No. 10); the cell edges are 5.036, 4.546 and 7.962 Å and the angles 90.00°, 107.23° and 90.00°. The distinct sites, in fractional coordinates, are K at (0.141, 0.000, 0.279), Co at (0.000, 0.500, 0.000) and Pb at (0.500, 0.500, 0.000).

=====

Here is a relaxed KCoPb2 crystal from Alexandria via LeMat-Bulk. Energies are from PBE.

The structure belongs to space group Cm (No. 8); the cell edges are 7.620, 4.401 and 7.638 Å and the angles 90.00°, 109.48° and 90.00°. The distinct sites, in fractional coordinates, are K at (0.000, 0.000, 0.000), Co at (0.329, 0.500, 0.486), Pb at (0.211, 0.000, 0.633) and Pb at (0.450, 0.000, 0.352).

=====

Here is a relaxed K2CoPb2 crystal from Alexandria via LeMat-Bulk. Energies are from PBE.

The structure belongs to space group P4/mbm (No. 127); the cell edges are 7.086, 7.086 and 6.173 Å and the angles 90.00°, 90.00° and 90.00°. The distinct sites, in fractional coordinates, are K at (0.172, 0.328, 0.000), Co at (0.000, 0.000, 0.500) and Pb at (0.174, 0.674, 0.500).

=====

Here is a relaxed K2CoPb crystal from Alexandria via LeMat-Bulk. Energies are from PBE.

The structure belongs to space group Amm2 (No. 38); the cell edges are 4.815, 5.553 and 11.774 Å and the angles 90.00°, 90.00° and 90.00°. The distinct sites, in fractional coordinates, are K at (0.000, 0.000, 0.000), K at (0.500, 0.000, 0.308), Co at (0.500, 0.000, 0.626) and Pb at (0.000, 0.000, 0.691).

=====

Here is a relaxed K2CoPb crystal from Alexandria via LeMat-Bulk. Energies are from PBE.

The structure belongs to space group Pmmm (No. 47); the cell edges are 4.500, 4.585 and 5.708 Å and the angles 90.00°, 90.00° and 90.00°. The distinct sites, in fractional coordinates, are K at (0.000, 0.000, 0.000), K at (0.500, 0.500, 0.000), Co at (0.000, 0.500, 0.500) and Pb at (0.500, 0.000, 0.500).

=====

Here is a relaxed K2CoPb crystal from Alexandria via LeMat-Bulk. Energies are from PBE.

The structure belongs to space group I-42d (No. 122); the cell edges are 12.388, 12.388 and 4.975 Å and the angles 90.00°, 90.00° and 90.00°. The distinct sites, in fractional coordinates, are K at (0.064, 0.250, 0.125), Co at (0.000, 0.000, 0.000) and Pb at (0.000, 0.000, 0.500).

=====

| no. | ΔE_f (meV/atom) | calculated total energy (eV/cell) |
| --- | --- | --- |
| 1 | 285.1 | -57.92 |
| 2 | 303.8 | -14.40 |
| 3 | 611.1 | -26.35 |
| 4 | 330.2 | -28.60 |
| 5 | 623.2 | -26.25 |
| 6 | 437.2 | -21.20 |
| 7 | 361.3 | -23.13 |
| 8 | 685.6 | -20.53 |
| 9 | 1322.7 | -19.51 |
| 10 | 653.4 | -20.79 |
| 11 | 762.2 | -29.88 |
| 12 | 364.7 | -11.55 |
| 13 | 499.4 | -10.41 |
| 14 | 333.7 | -23.35 |
| 15 | 478.3 | -11.10 |
| 16 | 169.6 | -29.88 |
| 17 | 238.2 | -31.05 |
| 18 | 393.0 | -22.87 |
| 19 | 655.2 | -10.39 |
| 20 | 444.1 | -44.93 |